(1)
Below is a PBEsol-optimized structure of KPSe, with properties calculated at the SCAN level.

a = 7.641 Å, b = 7.641 Å, c = 4.495 Å
α = 90.00°, β = 90.00°, γ = 130.95°
Fractional coordinates of all 6 atoms:
K 0.169 0.831 0.750
K 0.831 0.169 0.250
P 0.500 0.500 0.000
P 0.500 0.500 0.500
Se 0.334 0.666 0.250
Se 0.666 0.334 0.750

Calculated values
Magnetic moment, Bohr magnetons per cell: 0.00
Crystal system: orthorhombic
DOS(E_F), states/eV/cell: 2.805

=====

(2)
Below is a PBEsol-optimized structure of KPSe, with properties calculated at the SCAN level.

a = 4.857 Å, b = 4.857 Å, c = 4.857 Å
α = 60.00°, β = 60.00°, γ = 60.00°
Fractional coordinates of all 3 atoms:
K 0.000 0.000 0.000
P 0.250 0.250 0.250
Se 0.750 0.750 0.750

Calculated values
Magnetic moment, Bohr magnetons per cell: 0.00
Crystal system: cubic
DOS(E_F), states/eV/cell: 2.194

=====

Tell me which of them is the least stable. Sure, it is (2).